Here is a relaxed Mg30VNiO32 crystal from Alexandria via LeMat-Bulk. Energies are from PBE+U.

Calculated values
The calculation puts the mass density at 3.628 g/cm³. The value obtained for the calculated volume is 618 Å³/cell. The total DFT energy (no corrections) comes out at -0.4416 Ry/atom. As for the crystal system: tetragonal.

Unit cell a=8.5181 b=8.5181 c=8.5199 alpha=90.00 beta=90.00 gamma=90.00
Closest atoms and distances in Å follow each position.
Sites, in units of the cell vectors:
O1 0.7500 0.2500 0.2496  6 Mg 2.13
Mg1 0.0000 0.7505 0.7505  6 O 2.13
O2 0.0000 0.5000 0.2503  6 Mg 2.12-2.13
O3 0.0000 0.0000 0.7490  5 Mg 2.12-2.13, 1 Ni 2.14
Mg2 0.5000 0.0000 0.5000  6 O 2.12-2.13
Mg3 0.5000 0.2494 0.2505  6 O 2.12-2.13
Mg4 0.7501 0.7501 0.5000  6 O 2.13
O4 0.5000 0.2494 0.5000  6 Mg 2.12-2.13
O5 0.7504 0.0000 0.5000  6 Mg 2.13
O6 0.7500 0.7500 0.2496  6 Mg 2.13
O7 0.2503 0.0000 0.0000  5 Mg 2.12-2.13, 1 Ni 2.13
O8 0.7506 0.5000 0.5000  6 Mg 2.12-2.13
Mg5 0.7506 0.5000 0.2505  6 O 2.12-2.13
O9 0.5000 0.2450 0.0000  5 Mg 2.09-2.14, 1 V 2.17
Mg6 0.0000 0.0000 0.5000  6 O 2.12-2.13
Mg7 0.0000 0.7505 0.2495  6 O 2.13
Mg8 0.0000 0.2495 0.2495  6 O 2.13
Mg9 0.7512 0.2488 0.0000  6 O 2.12-2.14
O10 0.2496 0.0000 0.5000  6 Mg 2.13
Mg10 0.2499 0.7501 0.5000  6 O 2.13
O11 0.2500 0.2500 0.7504  6 Mg 2.13
O12 0.5000 0.0000 0.7497  6 Mg 2.12-2.13
Mg11 0.5000 0.0000 0.0000  6 O 2.09-2.13
O13 0.2450 0.5000 0.0000  5 Mg 2.09-2.14, 1 V 2.17
O14 0.5000 0.0000 0.2503  6 Mg 2.12-2.13
Mg12 0.0000 0.5000 0.0000  6 O 2.09-2.13
O15 0.0000 0.2496 0.5000  6 Mg 2.13
Mg13 0.2495 0.0000 0.7505  6 O 2.13
O16 0.0000 0.2503 0.0000  5 Mg 2.12-2.13, 1 Ni 2.13
V1 0.5000 0.5000 0.0000  6 O 2.17-2.18
O17 0.5000 0.7506 0.5000  6 Mg 2.12-2.13
O18 0.2500 0.7500 0.2496  6 Mg 2.13
O19 0.5000 0.7550 0.0000  5 Mg 2.09-2.14, 1 V 2.17
Mg14 0.2495 0.0000 0.2495  6 O 2.13
O20 0.0000 0.7497 0.0000  5 Mg 2.12-2.13, 1 Ni 2.13
Mg15 0.2494 0.5000 0.7495  6 O 2.12-2.13
O21 0.0000 0.7504 0.5000  6 Mg 2.13
Mg16 0.5000 0.7506 0.2505  6 O 2.12-2.13
O22 0.0000 0.0000 0.2510  5 Mg 2.12-2.13, 1 Ni 2.14
Mg17 0.5000 0.2494 0.7495  6 O 2.12-2.13
Mg18 0.7501 0.2499 0.5000  6 O 2.13
Mg19 0.5000 0.7506 0.7495  6 O 2.12-2.13
Mg20 0.0000 0.5000 0.5000  6 O 2.12-2.13
O23 0.7500 0.2500 0.7504  6 Mg 2.13
O24 0.2494 0.5000 0.5000  6 Mg 2.12-2.13
Mg21 0.5000 0.5000 0.5000  6 O 2.08-2.13
O25 0.2500 0.7500 0.7504  6 Mg 2.13
Mg22 0.7506 0.5000 0.7495  6 O 2.12-2.13
O26 0.7500 0.7500 0.7504  6 Mg 2.13
Ni1 0.0000 0.0000 0.0000  6 O 2.13-2.14
Mg23 0.7505 0.0000 0.7505  6 O 2.13
Mg24 0.7505 0.0000 0.2495  6 O 2.13
O27 0.5000 0.5000 0.2553  5 Mg 2.08-2.13, 1 V 2.18
O28 0.7497 0.0000 0.0000  5 Mg 2.12-2.13, 1 Ni 2.13
Mg25 0.2488 0.7512 0.0000  6 O 2.12-2.14
Mg26 0.7512 0.7512 0.0000  6 O 2.12-2.14
Mg27 0.0000 0.2495 0.7505  6 O 2.13
Mg28 0.2499 0.2499 0.5000  6 O 2.13
O29 0.7550 0.5000 0.0000  5 Mg 2.09-2.14, 1 V 2.17
Mg29 0.2494 0.5000 0.2505  6 O 2.12-2.13
O30 0.5000 0.5000 0.7447  5 Mg 2.08-2.13, 1 V 2.18
O31 0.2500 0.2500 0.2496  6 Mg 2.13
O32 0.0000 0.5000 0.7497  6 Mg 2.12-2.13
Mg30 0.2488 0.2488 0.0000  6 O 2.12-2.14